Compound: CrCo2F
Source: the Alexandria database
Functional: PBE with a Hubbard U
Structure: optimized geometry

Cell and atoms, written as CIF:
```
data_CrCo2F
_chemical_formula_sum 'Cr2 Co4 F2'
_cell_length_a 5.4504
_cell_length_b 5.4504
_cell_length_c 5.4504
_cell_angle_alpha 100.14
_cell_angle_beta 100.14
_cell_angle_gamma 130.39
_symmetry_space_group_name_H-M 'P 1'
_symmetry_Int_Tables_number 1
loop_
_symmetry_equiv_pos_as_xyz
'x,y,z'
loop_
_atom_site_label
_atom_site_fract_x
_atom_site_fract_y
_atom_site_fract_z
Cr1 0.0000 0.0000 0.0000
Cr2 0.7500 0.2500 0.5000
Co1 0.1919 0.6250 0.0669
Co2 0.3750 0.4419 0.5669
Co3 0.5581 0.1250 0.9331
Co4 0.8750 0.8081 0.4331
F1 0.2500 0.7500 0.5000
F2 0.5000 0.5000 0.0000
```

Summary:
E_tot (eV/atom): -4.397
Calculated volume (A^3/atom): 13.99
Relative energy among the computed polymorphs (eV/atom): 0.000
Theoretical density (g/cm³): 5.603

***

Compound: CrCo3F
Source: the Alexandria database
Functional: PBE with a Hubbard U
Structure: optimized geometry

Cell and atoms, written as CIF:
```
data_CrCo3F
_chemical_formula_sum 'Cr1 Co3 F1'
_cell_length_a 4.2033
_cell_length_b 4.2033
_cell_length_c 4.2033
_cell_angle_alpha 90.00
_cell_angle_beta 90.00
_cell_angle_gamma 90.00
_symmetry_space_group_name_H-M 'P 1'
_symmetry_Int_Tables_number 1
loop_
_symmetry_equiv_pos_as_xyz
'x,y,z'
loop_
_atom_site_label
_atom_site_fract_x
_atom_site_fract_y
_atom_site_fract_z
Cr1 0.0000 0.0000 0.0000
Co1 0.0000 0.5000 0.5000
Co2 0.5000 0.0000 0.5000
Co3 0.5000 0.5000 0.0000
F1 0.5000 0.5000 0.5000
```

Summary:
E_tot (eV/atom): -4.423
Calculated volume (A^3/atom): 14.85
Relative energy among the computed polymorphs (eV/atom): 0.000
Theoretical density (g/cm³): 5.541

***

Compound: CrCo2F
Source: the Alexandria database
Functional: PBE with a Hubbard U
Structure: optimized geometry

Cell and atoms, written as CIF:
```
data_CrCo2F
_chemical_formula_sum 'Cr1 Co2 F1'
_cell_length_a 4.2825
_cell_length_b 4.2825
_cell_length_c 4.2825
_cell_angle_alpha 60.00
_cell_angle_beta 60.00
_cell_angle_gamma 60.00
_symmetry_space_group_name_H-M 'P 1'
_symmetry_Int_Tables_number 1
loop_
_symmetry_equiv_pos_as_xyz
'x,y,z'
loop_
_atom_site_label
_atom_site_fract_x
_atom_site_fract_y
_atom_site_fract_z
Cr1 0.0000 0.0000 0.0000
Co1 0.2500 0.2500 0.2500
Co2 0.7500 0.7500 0.7500
F1 0.5000 0.5000 0.5000
```

Summary:
E_tot (eV/atom): -3.835
Calculated volume (A^3/atom): 13.88
Relative energy among the computed polymorphs (eV/atom): 0.562
Theoretical density (g/cm³): 5.647

***

Compound: CrCoF3
Source: the Alexandria database
Functional: PBE with a Hubbard U
Structure: optimized geometry

Cell and atoms, written as CIF:
```
data_CrCoF3
_chemical_formula_sum 'Cr1 Co1 F3'
_cell_length_a 4.0468
_cell_length_b 4.0468
_cell_length_c 4.0468
_cell_angle_alpha 90.00
_cell_angle_beta 90.00
_cell_angle_gamma 90.00
_symmetry_space_group_name_H-M 'P 1'
_symmetry_Int_Tables_number 1
loop_
_symmetry_equiv_pos_as_xyz
'x,y,z'
loop_
_atom_site_label
_atom_site_fract_x
_atom_site_fract_y
_atom_site_fract_z
Cr1 0.0000 0.0000 0.0000
Co1 0.5000 0.5000 0.5000
F1 0.0000 0.5000 0.5000
F2 0.5000 0.0000 0.5000
F3 0.5000 0.5000 0.0000
```

Summary:
E_tot (eV/atom): -5.155
Calculated volume (A^3/atom): 13.25
Relative energy among the computed polymorphs (eV/atom): 0.000
Theoretical density (g/cm³): 4.207

***

Compound: CrCo3F
Source: the Alexandria database
Functional: PBE with a Hubbard U
Structure: optimized geometry

Cell and atoms, written as CIF:
```
data_CrCo3F
_chemical_formula_sum 'Cr1 Co3 F1'
_cell_length_a 4.8010
_cell_length_b 4.8010
_cell_length_c 4.8010
_cell_angle_alpha 90.00
_cell_angle_beta 90.00
_cell_angle_gamma 90.00
_symmetry_space_group_name_H-M 'P 1'
_symmetry_Int_Tables_number 1
loop_
_symmetry_equiv_pos_as_xyz
'x,y,z'
loop_
_atom_site_label
_atom_site_fract_x
_atom_site_fract_y
_atom_site_fract_z
Cr1 0.0000 0.0000 0.0000
Co1 0.0000 0.0000 0.5000
Co2 0.0000 0.5000 0.0000
Co3 0.5000 0.0000 0.0000
F1 0.5000 0.5000 0.5000
```

Summary:
E_tot (eV/atom): -3.489
Calculated volume (A^3/atom): 22.13
Relative energy among the computed polymorphs (eV/atom): 0.934
Theoretical density (g/cm³): 3.718

***

Compound: CrGaCoF6
Source: the Alexandria database
Functional: PBE with a Hubbard U
Structure: optimized geometry

Cell and atoms, written as CIF:
```
data_CrGaCoF6
_chemical_formula_sum 'Cr2 Ga2 Co2 F12'
_cell_length_a 5.3453
_cell_length_b 5.3453
_cell_length_c 9.5695
_cell_angle_alpha 90.00
_cell_angle_beta 90.00
_cell_angle_gamma 120.00
_symmetry_space_group_name_H-M 'P 1'
_symmetry_Int_Tables_number 1
loop_
_symmetry_equiv_pos_as_xyz
'x,y,z'
loop_
_atom_site_label
_atom_site_fract_x
_atom_site_fract_y
_atom_site_fract_z
Cr1 0.0000 0.0000 0.0000
Cr2 0.0000 0.0000 0.5000
Ga1 0.3333 0.6667 0.2500
Ga2 0.6667 0.3333 0.7500
Co1 0.3333 0.6667 0.7500
Co2 0.6667 0.3333 0.2500
F1 0.0257 0.3676 0.1387
F2 0.0257 0.6581 0.3613
F3 0.3419 0.3676 0.3613
F4 0.3419 0.9743 0.1387
F5 0.3676 0.0257 0.6387
F6 0.3676 0.3419 0.8613
F7 0.6324 0.6581 0.1387
F8 0.6324 0.9743 0.3613
F9 0.6581 0.0257 0.8613
F10 0.6581 0.6324 0.6387
F11 0.9743 0.3419 0.6387
F12 0.9743 0.6324 0.8613
```

Summary:
E_tot (eV/atom): -5.150
Calculated volume (A^3/atom): 13.16
Theoretical density (g/cm³): 4.132

***

Compound: CrCoHgF6
Source: the Alexandria database
Functional: PBE with a Hubbard U
Structure: optimized geometry

Cell and atoms, written as CIF:
```
data_CrCoHgF6
_chemical_formula_sum 'Cr2 Co2 Hg2 F12'
_cell_length_a 5.3975
_cell_length_b 5.3975
_cell_length_c 11.4169
_cell_angle_alpha 90.00
_cell_angle_beta 90.00
_cell_angle_gamma 120.00
_symmetry_space_group_name_H-M 'P 1'
_symmetry_Int_Tables_number 1
loop_
_symmetry_equiv_pos_as_xyz
'x,y,z'
loop_
_atom_site_label
_atom_site_fract_x
_atom_site_fract_y
_atom_site_fract_z
Cr1 0.3333 0.6667 0.2500
Cr2 0.6667 0.3333 0.7500
Co1 0.3333 0.6667 0.7500
Co2 0.6667 0.3333 0.2500
Hg1 0.0000 0.0000 0.0000
Hg2 0.0000 0.0000 0.5000
F1 0.0155 0.3781 0.1567
F2 0.0155 0.6374 0.3433
F3 0.3626 0.3781 0.3433
F4 0.3626 0.9845 0.1567
F5 0.3781 0.0155 0.6567
F6 0.3781 0.3626 0.8433
F7 0.6219 0.6374 0.1567
F8 0.6219 0.9845 0.3433
F9 0.6374 0.0155 0.8433
F10 0.6374 0.6219 0.6567
F11 0.9845 0.3626 0.6567
F12 0.9845 0.6219 0.8433
```

Summary:
E_tot (eV/atom): -4.764
Calculated volume (A^3/atom): 16.00
Theoretical density (g/cm³): 4.906

***

Compound: Cr2CoHgF
Source: the Alexandria database
Functional: PBE with a Hubbard U
Structure: optimized geometry

Cell and atoms, written as CIF:
```
data_Cr2CoHgF
_chemical_formula_sum 'Cr2 Co1 Hg1 F1'
_cell_length_a 5.3142
_cell_length_b 5.3142
_cell_length_c 4.8491
_cell_angle_alpha 90.00
_cell_angle_beta 90.00
_cell_angle_gamma 90.00
_symmetry_space_group_name_H-M 'P 1'
_symmetry_Int_Tables_number 1
loop_
_symmetry_equiv_pos_as_xyz
'x,y,z'
loop_
_atom_site_label
_atom_site_fract_x
_atom_site_fract_y
_atom_site_fract_z
Cr1 0.0000 0.5000 0.0000
Cr2 0.5000 0.0000 0.0000
Co1 0.0000 0.0000 0.5000
Hg1 0.0000 0.0000 0.0000
F1 0.5000 0.5000 0.5000
```

Summary:
E_tot (eV/atom): -3.597
Calculated volume (A^3/atom): 27.39
Theoretical density (g/cm³): 4.638

***

Compound: CrCoI2F
Source: the Alexandria database
Functional: PBE with a Hubbard U
Structure: optimized geometry

Cell and atoms, written as CIF:
```
data_CrCoI2F
_chemical_formula_sum 'Cr1 Co1 I2 F1'
_cell_length_a 5.7245
_cell_length_b 5.7245
_cell_length_c 3.9210
_cell_angle_alpha 90.00
_cell_angle_beta 90.00
_cell_angle_gamma 90.00
_symmetry_space_group_name_H-M 'P 1'
_symmetry_Int_Tables_number 1
loop_
_symmetry_equiv_pos_as_xyz
'x,y,z'
loop_
_atom_site_label
_atom_site_fract_x
_atom_site_fract_y
_atom_site_fract_z
Cr1 0.0000 0.0000 0.0000
Co1 0.5000 0.5000 0.5000
I1 0.0000 0.5000 0.0000
I2 0.5000 0.0000 0.0000
F1 0.0000 0.0000 0.5000
```

Summary:
E_tot (eV/atom): -3.764
Calculated volume (A^3/atom): 25.70
Theoretical density (g/cm³): 4.959